Tl5V2F12 | PBE with a Hubbard U | optimized geometry

Properties
total DFT energy (no corrections) = -91.4 eV per cell
ΔE to the lowest computed polymorph = 0.0 kJ per mole of atoms
theoretical density = 5.69 g/cm³

Cell lengths 8.7895, 10.2207, 10.2207 Å; angles 36.26, 49.27, 49.27 degrees
Closest atoms and distances in Å follow each position.
Element x y z (fractional)
1 Tl 0.5787 0.2971 0.2971  4 F 2.69-2.80
2 Tl 0.9759 0.6986 0.6986  4 F 2.48-2.50
3 Tl 0.0241 0.3014 0.3014  4 F 2.48-2.50
4 Tl 0.5000 0.0000 0.0000  6 F 2.83-3.11
5 Tl 0.4213 0.7029 0.7029  4 F 2.69-2.80
6 F 0.1535 0.9953 0.9953  2 V 2.04
7 F 0.8073 0.3848 0.8843  1 V 1.90
8 F 0.8465 0.0047 0.0047  2 V 2.04
9 F 0.1927 0.1157 0.6152  1 V 1.90
10 F 0.7617 0.5845 0.0831  3 Tl 2.48-2.69
11 F 0.2383 0.4155 0.9169  3 Tl 2.48-2.69
12 F 0.1517 0.4958 0.4958  2 V 2.05
13 F 0.1927 0.6152 0.1157  1 V 1.90
14 F 0.2383 0.9169 0.4155  3 Tl 2.48-2.69
15 F 0.8483 0.5042 0.5042  2 V 2.05
16 F 0.7617 0.0831 0.5845  3 Tl 2.48-2.69
17 F 0.8073 0.8843 0.3848  1 V 1.90
18 V 0.0000 0.2484 0.7516  6 F 1.90-2.05
19 V 0.0000 0.7516 0.2484  6 F 1.90-2.05